Entry 1:
Computed, not measured: a relaxed TlInSN2 crystal at the PBE level of DFT.

Properties
calculated volume: 20.82 A^3/atom
DFT total energy: -3.988 eV/atom
relative energy among the computed polymorphs: 0.000 eV/atom
energy relative to the elements, uncorrected: 1.189 eV per atom
crystal system: tetragonal

Cell lengths 4.406, 4.406, 5.364 Å; angles 90.00, 90.00, 90.00 degrees
Each line ends with the local moment (μB).
Fractional coordinates of all 5 atoms:
Tl (0.500, 0.500, 0.500)  0.07
N (0.000, 0.500, 0.000)  1.14
N (0.500, 0.000, 0.000)  1.14
S (0.000, 0.000, 0.500)  0.24
In (0.000, 0.000, 0.000)  -0.02

Entry 2:
Computed, not measured: a relaxed TlIn3 crystal at the PBE level of DFT.

Properties
calculated volume: 28.27 A^3/atom
DFT total energy: -2.617 eV/atom
crystal system: hexagonal
calculated formation energy: 0.03 eV per atom

Cell lengths 6.717, 6.717, 5.788 Å; angles 90.00, 90.00, 120.00 degrees
Fractional coordinates of all 8 atoms:
Tl (0.333, 0.667, 0.750)
Tl (0.667, 0.333, 0.250)
In (0.165, 0.329, 0.250)
In (0.671, 0.835, 0.250)
In (0.165, 0.835, 0.250)
In (0.835, 0.671, 0.750)
In (0.329, 0.165, 0.750)
In (0.835, 0.165, 0.750)

Entry 3:
Computed, not measured: a relaxed Pd4Pb3S2 crystal at the PBE level of DFT.

Properties
calculated volume: 21.23 A^3/atom
DFT total energy: -4.677 eV/atom
energy relative to the elements, uncorrected: -0.216 eV per atom
crystal system: monoclinic

Cell lengths 4.411, 5.722, 8.292 Å; angles 97.76, 90.00, 112.67 degrees
Fractional coordinates of all 9 atoms:
Pd (0.696, 0.391, 0.079)
Pd (0.304, 0.609, 0.921)
Pd (0.946, 0.892, 0.648)
Pd (0.054, 0.108, 0.352)
Pb (0.658, 0.316, 0.715)
Pb (0.000, 0.000, 0.000)
Pb (0.342, 0.684, 0.285)
S (0.627, 0.254, 0.347)
S (0.373, 0.746, 0.653)

Entry 4:
Computed, not measured: a relaxed La2Tb2Th3 crystal at the PBE level of DFT.

Properties
calculated volume: 33.74 A^3/atom
DFT total energy: -5.841 eV/atom
crystal system: orthorhombic
calculated formation energy: 0.07 eV per atom

Cell lengths 3.558, 3.570, 18.682 Å; angles 90.00, 95.46, 90.00 degrees
Fractional coordinates of all 7 atoms:
La (0.292, 0.500, 0.583)
La (0.708, 0.500, 0.417)
Tb (0.135, 0.000, 0.270)
Tb (0.865, 0.000, 0.730)
Th (0.432, 0.500, 0.865)
Th (0.568, 0.500, 0.135)
Th (0.000, 0.000, 0.000)

Please write out number 3 again, unchanged.
Computed, not measured: a relaxed Pd4Pb3S2 crystal at the PBE level of DFT.

Properties
calculated volume: 21.23 A^3/atom
DFT total energy: -4.677 eV/atom
energy relative to the elements, uncorrected: -0.216 eV per atom
crystal system: monoclinic

Cell lengths 4.411, 5.722, 8.292 Å; angles 97.76, 90.00, 112.67 degrees
Fractional coordinates of all 9 atoms:
Pd (0.696, 0.391, 0.079)
Pd (0.304, 0.609, 0.921)
Pd (0.946, 0.892, 0.648)
Pd (0.054, 0.108, 0.352)
Pb (0.658, 0.316, 0.715)
Pb (0.000, 0.000, 0.000)
Pb (0.342, 0.684, 0.285)
S (0.627, 0.254, 0.347)
S (0.373, 0.746, 0.653)

The highest calculated volume belongs to which entry?
La2Tb2Th3

What is the formula in the fourth record?
La2Tb2Th3